P) {"formula": "K2PBr", "functional": "GGA-PBE", "state": "optimized geometry", "total_magnetization_mub_per_atom": 0.50, "crystal_system": "cubic", "spacegroup": "F-43m (216)", "lattice": [[-3.4028, -4.1789, 1.8001], [-2.7026, -3.2845, -3.7670], [1.5581, -5.4221, -0.6751]], "species": ["K", "Br", "K", "P"], "frac_coords": [[0.0000, 0.0000, 0.0000], [0.5000, 0.5000, 0.5000], [0.2500, 0.2500, 0.2500], [0.7500, 0.7500, 0.7500]]}


Q) {"formula": "K2PBr", "functional": "GGA-PBE", "state": "optimized geometry", "total_magnetization_mub_per_atom": 0.50, "crystal_system": "monoclinic", "spacegroup": "Cm (8)", "lattice": [[6.6784, -0.0152, -0.0202], [5.3322, 4.0210, -0.0202], [0.2353, 0.0785, 5.2410]], "species": ["P", "K", "K", "Br"], "frac_coords": [[0.5121, 0.5121, 0.3734], [0.0045, 0.0045, 0.8770], [0.2435, 0.2435, 0.3730], [0.7399, 0.7399, 0.8766]]}


Most stable structure among those shown: Q). Next: +0.306 eV/atom.